Entry from the Alexandria database: NaIn2H at its PBEsol-relaxed geometry (SCAN).

Lattice parameters (Å, degrees): 4.887 4.887 4.887 60.00 60.00 60.00
Element x y z (fractional)
Na (0.500, 0.500, 0.500)
H (0.000, 0.000, 0.000)
In (0.250, 0.250, 0.250)
In (0.750, 0.750, 0.750)

Properties
**SG**: Fm-3m, No. 225
**DFT total energy**: -72.60 eV/cell
**Mass density**: 5103 kg/m³